Computed, not measured: an optimized crystal structure of TaVIn at the PBE-GGA level of DFT.

- Density of states at the Fermi level: 2.63 states/eV/f.u.
- ΔE to the lowest computed polymorph: 176 meV per atom
- E_tot: -91.3 eV/cell
- SG: C2/m (12)

Cell: 3.096 7.145 10.463 Å, 88.78 98.51 90.00°
Last column: magnetic moment on the atom in μB.
Element x y z (fractional)
In  0.111  0.397  0.222  0.00
In  0.480  0.284  0.960  0.00
In  0.520  0.716  0.040  0.00
In  0.889  0.603  0.778  0.00
V  0.272  0.665  0.544  0.36
V  0.795  0.950  0.591  -0.05
V  0.728  0.335  0.456  0.36
V  0.205  0.050  0.409  -0.05
Ta  0.330  0.286  0.660  0.02
Ta  0.601  0.046  0.202  0.02
Ta  0.670  0.714  0.340  0.02
Ta  0.399  0.954  0.798  0.02



Computed, not measured: an optimized crystal structure of TaV4In at the PBE-GGA level of DFT.

- Density of states at the Fermi level: 7.97 states/eV/f.u.
- E_tot: -50.6 eV/cell
- SG: F-43m (216)

Cell: 5.091 5.091 5.091 Å, 60.00 60.00 60.00°
Element x y z (fractional)
V  0.628  0.628  0.116
V  0.628  0.116  0.628
V  0.628  0.628  0.628
V  0.116  0.628  0.628
In  0.250  0.250  0.250
Ta  0.000  0.000  0.000



Computed, not measured: an optimized crystal structure of Ta3VIn at the PBE-GGA level of DFT.

- Density of states at the Fermi level: 3.41 states/eV/f.u.
- ΔE to the lowest computed polymorph: 0 meV per atom
- E_tot: -42.4 eV/cell
- SG: Pm-3m (221)

Cell: 4.682 4.682 4.682 Å, 90.00 90.00 90.00°
Element x y z (fractional)
In  0.500  0.500  0.500
Ta  0.000  0.500  0.000
Ta  0.000  0.000  0.500
Ta  0.500  0.000  0.000
V  0.000  0.000  0.000



Computed, not measured: an optimized crystal structure of TaV2In at the PBE-GGA level of DFT.

- Density of states at the Fermi level: 2.77 states/eV/f.u.
- E_tot: -32.4 eV/cell
- SG: P4/mmm (123)

Cell: 3.421 4.381 4.381 Å, 90.00 90.00 90.00°
Element x y z (fractional)
V  0.000  0.000  0.500
V  0.000  0.500  0.000
In  0.500  0.500  0.500
Ta  0.500  0.000  0.000



- The lowest E_tot belongs to which entry?
  TaVIn



- Which formula does entry 3 have?
  Ta3VIn